(1)
SmErSc4: optimized geometry, GGA-PBE.

Lattice parameters (Å, degrees): 9.8002 9.8002 5.3214 90.00 90.00 141.00
Fractional coordinates of all 12 atoms:
Sm: 0.1234 0.8766 0.7500
Sm: 0.8766 0.1234 0.2500
Er: 0.3735 0.6265 0.2500
Er: 0.6265 0.3735 0.7500
Sc: 0.0425 0.4596 0.7500
Sc: 0.2121 0.2957 0.7500
Sc: 0.2957 0.2121 0.2500
Sc: 0.4596 0.0425 0.2500
Sc: 0.5404 0.9575 0.7500
Sc: 0.7043 0.7879 0.7500
Sc: 0.7879 0.7043 0.2500
Sc: 0.9575 0.5404 0.2500

Values from the calculation:
E_form: 0.065 eV/atom
Polymorph energy (0 for the lowest one): 0.0 meV per atom



(2)
SmErScSn: optimized geometry, GGA-PBE.

Lattice parameters (Å, degrees): 5.3302 5.3302 5.3302 60.00 60.00 60.00
Fractional coordinates of all 4 atoms:
Sm: 0.0000 0.0000 0.0000
Er: 0.5000 0.5000 0.5000
Sc: 0.2500 0.2500 0.2500
Sn: 0.7500 0.7500 0.7500

Values from the calculation:
E_form: -0.249 eV/atom



(3)
Tb6Sm3ErSc2: optimized geometry, GGA-PBE.

Lattice parameters (Å, degrees): 6.1157 6.1157 11.6439 95.02 95.02 119.98
Fractional coordinates of all 12 atoms:
Tb: 0.0830 0.4188 0.7582
Tb: 0.2452 0.2452 0.2418
Tb: 0.4188 0.0830 0.7582
Tb: 0.5812 0.9170 0.2418
Tb: 0.7548 0.7548 0.7582
Tb: 0.9170 0.5812 0.2418
Sm: 0.0000 0.0000 0.5000
Sm: 0.3332 0.6668 0.5000
Sm: 0.6668 0.3332 0.5000
Er: 0.5000 0.5000 0.0000
Sc: 0.1667 0.8333 0.0000
Sc: 0.8333 0.1667 0.0000

Values from the calculation:
E_form: 0.037 eV/atom



(4)
TbSm2Er5Sc: optimized geometry, GGA-PBE.

Lattice parameters (Å, degrees): 9.7690 9.7690 9.7690 128.33 128.33 76.10
Fractional coordinates of all 18 atoms:
Tb: 0.2500 0.2500 0.0000
Tb: 0.7500 0.7500 0.0000
Sm: 0.1188 0.6188 0.7376
Sm: 0.3812 0.1188 0.5000
Sm: 0.6188 0.8812 0.5000
Sm: 0.8812 0.3812 0.2624
Er: 0.0000 0.0000 0.0000
Er: 0.0662 0.1511 0.5000
Er: 0.1511 0.6511 0.0849
Er: 0.3489 0.4338 0.5000
Er: 0.4338 0.9338 0.0849
Er: 0.5000 0.5000 0.0000
Er: 0.5662 0.0662 0.9151
Er: 0.6511 0.5662 0.5000
Er: 0.8489 0.3489 0.9151
Er: 0.9338 0.8489 0.5000
Sc: 0.2500 0.7500 0.5000
Sc: 0.7500 0.2500 0.5000

Values from the calculation:
E_form: 0.283 eV/atom



(5)
Tb5SmEr2Sc: optimized geometry, GGA-PBE.

Lattice parameters (Å, degrees): 10.2736 10.2736 10.3775 90.00 90.00 148.64
Fractional coordinates of all 18 atoms:
Tb: 0.0183 0.9817 0.5000
Tb: 0.1228 0.8772 0.7807
Tb: 0.2010 0.7990 0.4657
Tb: 0.2231 0.7769 0.0809
Tb: 0.4819 0.5181 0.7781
Tb: 0.5181 0.4819 0.2781
Tb: 0.7769 0.2231 0.5809
Tb: 0.7990 0.2010 0.9657
Tb: 0.8772 0.1228 0.2807
Tb: 0.9817 0.0183 0.0000
Sm: 0.0886 0.9114 0.2150
Sm: 0.9114 0.0886 0.7150
Er: 0.3860 0.6140 0.4966
Er: 0.3881 0.6119 0.0731
Er: 0.6119 0.3881 0.5731
Er: 0.6140 0.3860 0.9966
Sc: 0.3045 0.6955 0.7749
Sc: 0.6955 0.3045 0.2749

Values from the calculation:
E_form: 0.169 eV/atom



(6)
Tb6SmEr3Sc2: optimized geometry, GGA-PBE.

Lattice parameters (Å, degrees): 6.0709 6.0709 11.5837 94.99 94.99 119.96
Fractional coordinates of all 12 atoms:
Tb: 0.0810 0.4170 0.7532
Tb: 0.2467 0.2467 0.2468
Tb: 0.4170 0.0810 0.7532
Tb: 0.5830 0.9190 0.2468
Tb: 0.7533 0.7533 0.7532
Tb: 0.9190 0.5830 0.2468
Sm: 0.5000 0.5000 0.0000
Er: 0.0000 0.0000 0.5000
Er: 0.3329 0.6671 0.5000
Er: 0.6671 0.3329 0.5000
Sc: 0.1666 0.8334 0.0000
Sc: 0.8334 0.1666 0.0000

Values from the calculation:
E_form: 0.035 eV/atom



(7)
Tb2SmEr2Sc: optimized geometry, GGA-PBE.

Lattice parameters (Å, degrees): 6.8586 9.6135 5.5178 90.00 90.00 90.00
Fractional coordinates of all 12 atoms:
Tb: 0.2459 0.1663 0.0000
Tb: 0.2541 0.6663 0.5000
Tb: 0.7459 0.3337 0.5000
Tb: 0.7541 0.8337 0.0000
Sm: 0.0000 0.5000 0.0000
Sm: 0.5000 0.0000 0.5000
Er: 0.2486 0.8330 0.0000
Er: 0.2514 0.3330 0.5000
Er: 0.7486 0.6670 0.5000
Er: 0.7514 0.1670 0.0000
Sc: 0.0000 0.0000 0.5000
Sc: 0.5000 0.5000 0.0000

Values from the calculation:
E_form: 0.098 eV/atom



(8)
Tb2Sm3Er6Sc: optimized geometry, GGA-PBE.

Lattice parameters (Å, degrees): 6.1091 6.1091 11.6684 95.00 95.00 119.97
Fractional coordinates of all 12 atoms:
Tb: 0.1664 0.8336 0.0000
Tb: 0.8336 0.1664 0.0000
Sm: 0.0000 0.0000 0.5000
Sm: 0.3335 0.6665 0.5000
Sm: 0.6665 0.3335 0.5000
Er: 0.0879 0.4187 0.7543
Er: 0.2505 0.2505 0.2460
Er: 0.4187 0.0879 0.7543
Er: 0.5813 0.9121 0.2457
Er: 0.7495 0.7495 0.7540
Er: 0.9121 0.5813 0.2457
Sc: 0.5000 0.5000 0.0000

Values from the calculation:
E_form: 0.028 eV/atom



| no. | raw total energy (eV per cell) |
| --- | --- |
| 1 | -68.43 |
| 2 | -20.61 |
| 3 | -58.72 |
| 4 | -81.33 |
| 5 | -83.61 |
| 6 | -58.43 |
| 7 | -57.70 |
| 8 | -56.79 |